Crystalline La3Nd4NpN8 at its relaxed geometry, computed with GGA-PBE.

```
La3Nd4NpN8
1.0
3.658 2.112 5.946
-3.658 2.112 5.946
0.000 -4.223 5.946
La Nd Np N
3 4 1 8
Direct
0.000 0.500 0.500 La
0.500 0.000 0.500 La
0.500 0.500 0.000 La
0.000 0.000 0.500 Nd
0.000 0.500 0.000 Nd
0.500 0.000 0.000 Nd
0.500 0.500 0.500 Nd
0.000 0.000 0.000 Np
0.226 0.770 0.770 N
0.230 0.230 0.774 N
0.230 0.774 0.230 N
0.249 0.249 0.249 N
0.751 0.751 0.751 N
0.770 0.226 0.770 N
0.770 0.770 0.226 N
0.774 0.230 0.230 N
```

Properties
DOS at the Fermi energy (states/eV per cell): 7.77
Space-group type: R-3m
Calculated total energy (eV/atom): -8.395

Crystalline KTl6InHg at its relaxed geometry, computed with GGA-PBE.

```
KTl6InHg
1.0
-3.150 5.961 9.088
3.150 -5.961 9.088
3.150 5.961 -9.088
K Tl In Hg
2 12 2 2
Direct
0.342 0.092 0.250 K
0.658 0.908 0.750 K
0.149 0.408 0.241 Tl
0.149 0.908 0.741 Tl
0.152 0.902 0.250 Tl
0.188 0.438 0.750 Tl
0.333 0.092 0.741 Tl
0.333 0.592 0.241 Tl
0.667 0.408 0.759 Tl
0.667 0.908 0.259 Tl
0.812 0.562 0.250 Tl
0.848 0.098 0.750 Tl
0.851 0.092 0.259 Tl
0.851 0.592 0.759 Tl
0.000 0.000 0.500 In
0.000 0.500 0.000 In
0.000 0.500 0.500 Hg
0.500 0.500 0.000 Hg
```

Properties
Energy of formation (meV per atom): 47
DOS at the Fermi energy (states/eV per cell): 7.44
Space-group type: Imma
Calculated total energy (eV/atom): -1.990